VASP calculation (PBE-GGA) on a geometry-optimized TeH3I structure.

Computed properties:
Relative energy among the computed polymorphs (eV per atom): 0.908
SG: Pm-3m, No. 221

```
TeH3I
1.0
4.171 0.000 0.000
0.000 4.171 0.000
0.000 0.000 4.171
I Te H
1 1 3
direct
0.000 0.000 0.000
0.500 0.500 0.500
0.500 0.000 0.000
0.000 0.500 0.000
0.000 0.000 0.500
```